# 1
Material: Eu2Zn2P3
Method: DFT, GGA-PBEsol
State: optimized geometry

a = 15.614 Å, b = 3.984 Å, c = 11.588 Å
α = 90.00°, β = 123.92°, γ = 90.00°
Space group C2/m (No. 12)
One atom of each set of equivalent atoms:
1 Eu 0.040 0.000 0.372 (multiplicity 4)
2 Eu 0.222 0.000 0.808 (multiplicity 4)
3 Zn 0.059 0.500 0.170 (multiplicity 4)
4 Zn 0.089 0.000 0.978 (multiplicity 4)
5 P 0.087 0.500 0.572 (multiplicity 4)
6 P 0.108 0.500 0.875 (multiplicity 4)
7 P 0.149 0.000 0.217 (multiplicity 4)

=====

# 2
Material: InMo2PbC
Method: DFT, GGA-PBEsol
State: optimized geometry

a = 5.287 Å, b = 5.287 Å, c = 5.569 Å
α = 90.00°, β = 90.00°, γ = 90.00°
Space group P4/mmm (No. 123)
One atom of each set of equivalent atoms:
1 In 0.000 0.000 0.000 (multiplicity 1)
2 Mo 0.000 0.500 0.500 (multiplicity 2)
3 Pb 0.000 0.000 0.500 (multiplicity 1)
4 C 0.500 0.500 0.000 (multiplicity 1)

=====

Number 1: Fermi-level density of states 10.8 states/eV/f.u., uncorrected energy -6.680 eV per atom, formation energy -0.728 eV per atom. Number 2: Fermi-level density of states 2.6 states/eV/f.u., uncorrected energy -4.629 eV per atom, formation energy 3.403 eV per atom.